(1)
{"formula": "TiTcNi", "functional": "PBE-GGA", "state": "optimized geometry", "lattice_angstrom": [[-5.063, 1.484, 0.454], [-1.113, -3.193, -1.974], [1.307, -4.582, 6.675]], "species": ["Tc", "Tc", "Tc", "Ti", "Ni", "Ni", "Tc", "Ti", "Ti", "Ti", "Ni", "Ni"], "fractional_positions": [[0.660, 0.500, 0.980], [0.821, 0.000, 0.807], [0.660, 0.000, 0.480], [0.983, 0.000, 0.135], [0.469, 0.500, 0.646], [0.169, 0.000, 0.485], [0.821, 0.500, 0.307], [0.336, 0.500, 0.328], [0.983, 0.500, 0.635], [0.336, 0.000, 0.828], [0.169, 0.500, 0.985], [0.469, 0.000, 0.146]], "ef_ev_per_atom": -0.2785, "n_ef_per_ev_atom": 0.7626, "e_above_lowest_polymorph_kj_per_mol_atoms": 0.0}

(2)
{"formula": "TaAlHg2Br", "functional": "PBE-GGA", "state": "optimized geometry", "lattice_angstrom": [[-3.111, 1.649, 3.759], [2.115, -3.388, 3.236], [3.516, 3.505, 1.372]], "species": ["Ta", "Hg", "Al", "Br", "Hg"], "fractional_positions": [[0.500, 0.500, 0.500], [0.000, 0.000, 0.500], [0.000, 0.000, 0.000], [0.000, 0.500, 0.000], [0.500, 0.000, 0.000]], "n_ef_per_ev_atom": 1.2161, "e_above_lowest_polymorph_kj_per_mol_atoms": 24.1}

(3)
{"formula": "Pa3SnP4N12", "functional": "PBE-GGA", "state": "optimized geometry", "lattice_angstrom": [[6.961, 0.036, 0.050], [-1.642, 6.765, 0.050], [-1.642, -2.100, 6.431]], "species": ["N", "N", "N", "N", "Sn", "Pa", "Pa", "Pa", "N", "P", "N", "N", "P", "N", "P", "N", "N", "P", "N", "N"], "fractional_positions": [[0.207, 0.375, 0.978], [0.898, 0.500, 0.102], [0.500, 0.102, 0.898], [0.375, 0.978, 0.207], [0.000, 0.000, 0.000], [0.457, 0.000, 0.543], [0.543, 0.457, 0.000], [0.000, 0.543, 0.457], [0.625, 0.793, 0.022], [0.500, 0.956, 0.044], [0.793, 0.022, 0.625], [0.354, 0.646, 0.500], [0.500, 0.500, 0.500], [0.978, 0.207, 0.375], [0.044, 0.500, 0.956], [0.102, 0.898, 0.500], [0.500, 0.354, 0.646], [0.956, 0.044, 0.500], [0.022, 0.625, 0.793], [0.646, 0.500, 0.354]], "n_ef_per_ev_atom": 0.2314, "final_energy_ev_per_atom": -8.35}

(4)
{"formula": "Ba2MgCuH", "functional": "PBE-GGA", "state": "optimized geometry", "lattice_angstrom": [[5.627, 0.000, 0.000], [0.000, 5.627, 0.000], [0.000, 0.000, 4.406]], "species": ["Ba", "Mg", "H", "Cu", "Ba"], "fractional_positions": [[0.500, 0.000, 0.000], [0.000, 0.000, 0.500], [0.000, 0.000, 0.000], [0.500, 0.500, 0.500], [0.000, 0.500, 0.000]], "n_ef_per_ev_atom": 0.7441, "e_above_lowest_polymorph_kj_per_mol_atoms": 0.0}

(5)
{"formula": "SbTe2Os", "functional": "PBE-GGA", "state": "optimized geometry", "lattice_angstrom": [[12.598, 0.007, 0.004], [12.210, 3.105, 0.004], [12.210, 1.531, 2.701]], "species": ["Te", "Sb", "Os", "Te"], "fractional_positions": [[0.068, 0.068, 0.068], [0.500, 0.500, 0.500], [0.000, 0.000, 0.000], [0.932, 0.932, 0.932]], "n_ef_per_ev_atom": 0.8458, "final_energy_ev_per_atom": -4.64}

(6)
{"formula": "Lu7Te2Ru2", "functional": "PBE-GGA", "state": "optimized geometry", "lattice_angstrom": [[9.205, 0.023, -0.014], [3.794, 8.387, 0.014], [-4.616, -7.116, 3.576]], "species": ["Lu", "Lu", "Lu", "Ru", "Ru", "Lu", "Lu", "Lu", "Lu", "Te", "Te"], "fractional_positions": [[0.942, 0.315, 0.627], [0.996, 0.000, 0.996], [0.611, 0.350, 0.261], [0.168, 0.237, 0.931], [0.694, 0.763, 0.931], [0.311, 0.685, 0.627], [0.552, 0.135, 0.417], [0.911, 0.650, 0.261], [0.282, 0.865, 0.417], [0.660, 0.000, 0.660], [0.265, 0.500, 0.765]], "n_ef_per_ev_atom": 0.7331, "final_energy_ev_per_atom": -5.86}

(7)
{"formula": "TiIn3Fe", "functional": "PBE-GGA", "state": "optimized geometry", "lattice_angstrom": [[4.853, 0.000, 0.000], [0.000, 4.853, 0.000], [0.000, 0.000, 4.853]], "species": ["In", "Ti", "In", "In", "Fe"], "fractional_positions": [[0.000, 0.500, 0.000], [0.500, 0.500, 0.500], [0.500, 0.000, 0.000], [0.000, 0.000, 0.500], [0.000, 0.000, 0.000]], "ef_ev_per_atom": 0.6216, "n_ef_per_ev_atom": 2.2769, "e_above_lowest_polymorph_kj_per_mol_atoms": 0.0}

(8)
{"formula": "KBi3B4O12", "functional": "PBE-GGA", "state": "optimized geometry", "lattice_angstrom": [[6.710, 0.139, 0.193], [-1.482, 6.546, 0.193], [-1.482, -1.895, 6.269]], "species": ["Bi", "K", "O", "O", "O", "B", "Bi", "O", "O", "Bi", "O", "B", "O", "O", "O", "B", "O", "O", "B", "O"], "fractional_positions": [[0.469, 0.000, 0.531], [0.000, 0.000, 0.000], [0.900, 0.500, 0.100], [0.993, 0.596, 0.805], [0.404, 0.007, 0.195], [0.964, 0.036, 0.500], [0.531, 0.469, 0.000], [0.596, 0.805, 0.993], [0.007, 0.195, 0.404], [0.000, 0.531, 0.469], [0.634, 0.500, 0.366], [0.500, 0.500, 0.500], [0.500, 0.366, 0.634], [0.366, 0.634, 0.500], [0.500, 0.100, 0.900], [0.036, 0.500, 0.964], [0.100, 0.900, 0.500], [0.195, 0.404, 0.007], [0.500, 0.964, 0.036], [0.805, 0.993, 0.596]], "n_ef_per_ev_atom": 0.2280, "final_energy_ev_per_atom": -6.76}

(9)
{"formula": "Pm2Ge6OsRu", "functional": "PBE-GGA", "state": "optimized geometry", "lattice_angstrom": [[-0.443, 5.669, 5.068], [-6.188, 4.437, 0.220], [-6.006, -2.218, 7.679]], "species": ["Ge", "Pm", "Ge", "Ge", "Ge", "Os", "Ge", "Ru", "Ru", "Ge", "Ge", "Ge", "Pm", "Pm", "Ge", "Os", "Ge", "Ge", "Ge", "Pm"], "fractional_positions": [[0.795, 0.795, 0.155], [0.285, 0.285, 0.146], [0.390, 0.390, 0.355], [0.865, 0.390, 0.355], [0.610, 0.610, 0.645], [0.608, 0.608, 0.175], [0.390, 0.865, 0.355], [0.500, 0.500, 0.500], [0.000, 0.000, 0.000], [0.745, 0.205, 0.845], [0.135, 0.610, 0.645], [0.205, 0.745, 0.845], [0.715, 0.715, 0.854], [0.863, 0.863, 0.411], [0.610, 0.135, 0.645], [0.392, 0.392, 0.825], [0.255, 0.795, 0.155], [0.795, 0.255, 0.155], [0.205, 0.205, 0.845], [0.137, 0.137, 0.589]], "ef_ev_per_atom": -0.1500, "n_ef_per_ev_atom": 0.5738}

(10)
{"formula": "TbCeErIn", "functional": "PBE-GGA", "state": "optimized geometry", "lattice_angstrom": [[5.385, 0.000, 0.000], [2.693, 4.664, 0.000], [2.693, 1.555, 4.397]], "species": ["In", "Er", "Tb", "Ce"], "fractional_positions": [[0.250, 0.250, 0.250], [0.000, 0.000, 0.000], [0.500, 0.500, 0.500], [0.750, 0.750, 0.750]], "ef_ev_per_atom": -0.0706, "n_ef_per_ev_atom": 1.4590}

(11)
{"formula": "IrRuRh", "functional": "PBE-GGA", "state": "optimized geometry", "lattice_angstrom": [[4.159, 0.000, 0.000], [2.080, 3.602, 0.000], [2.080, 1.201, 3.396]], "species": ["Rh", "Ru", "Ir"], "fractional_positions": [[0.500, 0.500, 0.500], [0.750, 0.750, 0.750], [0.000, 0.000, 0.000]], "ef_ev_per_atom": 0.6480, "n_ef_per_ev_atom": 1.4924, "e_above_lowest_polymorph_kj_per_mol_atoms": 64.1}

(12)
{"formula": "Nd5Ho4Er3", "functional": "PBE-GGA", "state": "optimized geometry", "lattice_angstrom": [[5.804, 0.000, 0.000], [2.902, 4.875, -0.492], [2.902, 1.363, 14.043]], "species": ["Nd", "Nd", "Er", "Ho", "Ho", "Nd", "Er", "Nd", "Nd", "Ho", "Er", "Ho"], "fractional_positions": [[0.800, 0.654, 0.745], [0.669, 0.664, 0.999], [0.457, 0.338, 0.749], [0.819, 0.003, 0.358], [0.181, 0.997, 0.642], [0.331, 0.336, 0.001], [0.543, 0.662, 0.251], [0.500, 0.500, 0.500], [0.200, 0.346, 0.255], [0.063, 0.999, 0.875], [0.000, 0.500, 0.500], [0.937, 0.001, 0.125]], "ef_ev_per_atom": 0.2310, "n_ef_per_ev_atom": 1.5852}